[1]
Computed, not measured: a geometry-optimized Rb12Na3H5 structure at the PBE level of DFT.

abc: 17.5347 17.5347 17.5347
angles: 109.47 109.47 109.47
With the nearest neighbours (Å) after each atom.
Element x y z (fractional)
Na: 0.7500 0.3750 0.1250  8 Rb 4.03-4.31
Na: 0.8750 0.7500 0.1250  8 Rb 4.03-4.31
Na: 0.3750 0.7500 0.6250  8 Rb 4.03-4.31
Na: 0.2500 0.1250 0.3750  8 Rb 4.03-4.31
Na: 0.8750 0.1250 0.2500  8 Rb 4.03-4.31
Na: 0.3750 0.6250 0.2500  8 Rb 4.03-4.31
Na: 0.6250 0.3750 0.7500  8 Rb 4.03-4.31
Na: 0.1250 0.8750 0.7500  8 Rb 4.03-4.31
Na: 0.7500 0.8750 0.6250  8 Rb 4.03-4.31
Na: 0.6250 0.2500 0.3750  8 Rb 4.03-4.31
Na: 0.1250 0.2500 0.8750  8 Rb 4.03-4.31
Na: 0.2500 0.6250 0.8750  8 Rb 4.03-4.31
H: 0.1250 0.3750 0.2500  4 Rb 2.83
H: 0.0000 0.5000 0.0000  6 Rb 3.20
H: 0.0000 0.0000 0.0000  6 Rb 3.20
H: 0.3750 0.2500 0.1250  4 Rb 2.83
H: 0.5000 0.0000 0.5000  6 Rb 3.20
H: 0.5000 0.5000 0.0000  6 Rb 3.20
H: 0.1250 0.7500 0.3750  4 Rb 2.83
H: 0.7500 0.1250 0.8750  4 Rb 2.83
H: 0.7500 0.6250 0.3750  4 Rb 2.83
H: 0.3750 0.1250 0.7500  4 Rb 2.83
H: 0.6250 0.8750 0.2500  4 Rb 2.83
H: 0.5000 0.5000 0.5000  6 Rb 3.20
H: 0.5000 0.0000 0.0000  6 Rb 3.20
H: 0.0000 0.0000 0.5000  6 Rb 3.20
H: 0.2500 0.3750 0.6250  4 Rb 2.83
H: 0.2500 0.8750 0.1250  4 Rb 2.83
H: 0.0000 0.5000 0.5000  6 Rb 3.20
H: 0.8750 0.2500 0.6250  4 Rb 2.83
H: 0.6250 0.7500 0.8750  4 Rb 2.83
H: 0.8750 0.6250 0.7500  4 Rb 2.83
Rb: 0.6892 0.1070 0.0020  1 H 2.83
Rb: 0.3128 0.5020 0.3950  1 H 2.83
Rb: 0.9980 0.3930 0.3108  1 H 2.83
Rb: 0.5020 0.1892 0.1070  1 H 2.83
Rb: 0.5822 0.6892 0.6872  1 H 2.83
Rb: 0.9980 0.6050 0.1872  1 H 2.83
Rb: 0.3128 0.8108 0.4178  1 H 2.83
Rb: 0.1050 0.9178 0.1070  1 H 2.83
Rb: 0.6050 0.9980 0.6872  1 H 2.83
Rb: 0.6892 0.5822 0.1872  1 H 2.83
Rb: 0.8108 0.4980 0.3930  1 H 2.83
Rb: 0.8128 0.8950 0.0020  1 H 2.83
Rb: 0.1070 0.6892 0.5020  1 H 2.83
Rb: 0.3930 0.3950 0.0822  1 H 2.83
Rb: 0.0822 0.8950 0.3930  1 H 2.83
Rb: 0.4178 0.1070 0.6050  1 H 2.83
Rb: 0.0822 0.1872 0.1892  1 H 2.83
Rb: 0.4980 0.6872 0.1050  1 H 2.83
Rb: 0.8128 0.9178 0.3108  1 H 2.83
Rb: 0.1070 0.4178 0.1050  1 H 2.83
Rb: 0.3930 0.9980 0.8108  1 H 2.83
Rb: 0.6050 0.6070 0.4178  1 H 2.83
Rb: 0.8950 0.8128 0.5020  1 H 2.83
Rb: 0.8108 0.3128 0.9178  1 H 2.83
Rb: 0.3950 0.3930 0.5822  1 H 2.83
Rb: 0.1050 0.1872 0.4980  1 H 2.83
Rb: 0.1892 0.6872 0.0822  1 H 2.83
Rb: 0.1872 0.0822 0.6892  1 H 2.83
Rb: 0.6070 0.0020 0.1892  1 H 2.83
Rb: 0.8930 0.5822 0.8950  1 H 2.83
Rb: 0.5020 0.3128 0.8950  1 H 2.83
Rb: 0.5822 0.8930 0.3950  1 H 2.83
Rb: 0.9178 0.8128 0.8108  1 H 2.83
Rb: 0.9178 0.1050 0.6070  1 H 2.83
Rb: 0.8930 0.3108 0.4980  1 H 2.83
Rb: 0.1872 0.1050 0.9980  1 H 2.83
Rb: 0.6070 0.6050 0.9178  1 H 2.83
Rb: 0.3950 0.0020 0.3128  1 H 2.83
Rb: 0.3108 0.4178 0.8128  1 H 2.83
Rb: 0.1892 0.5020 0.6070  1 H 2.83
Rb: 0.8950 0.0822 0.8930  1 H 2.83
Rb: 0.6872 0.1892 0.5822  1 H 2.83
Rb: 0.4980 0.8108 0.8930  1 H 2.83
Rb: 0.0020 0.3950 0.8128  1 H 2.83
Rb: 0.4178 0.3108 0.3128  1 H 2.83
Rb: 0.0020 0.6070 0.6892  1 H 2.83
Rb: 0.6872 0.4980 0.6050  1 H 2.83
Rb: 0.3108 0.8930 0.9980  1 H 2.83

space-group type: Ia-3d
DOS at the Fermi energy: 15.47 states/eV/f.u.
volume: 51.88 Å³ per atom
total DFT energy (no corrections): -126.23 eV/cell

***

[2]
Computed, not measured: a geometry-optimized Rb2SnSbBr6 structure at the PBE level of DFT.

abc: 8.2305 8.2305 8.2469
angles: 60.07 60.07 90.00
With the nearest neighbours (Å) after each atom.
Element x y z (fractional)
Sb: 0.0000 0.0000 0.0000  6 Br 2.89-2.90
Br: 0.2484 0.2484 0.5032  1 Sb 2.90, 1 Sn 2.94
Br: 0.7516 0.7516 0.4968  1 Sb 2.90, 1 Sn 2.94
Br: 0.2481 0.2481 0.0000  1 Sb 2.89, 1 Sn 2.93
Br: 0.7519 0.7519 0.0000  1 Sb 2.89, 1 Sn 2.93
Br: 0.7519 0.2481 0.0000  1 Sb 2.89, 1 Sn 2.93
Br: 0.2481 0.7519 0.0000  1 Sb 2.89, 1 Sn 2.93
Sn: 0.5000 0.5000 0.0000  6 Br 2.93-2.94
Rb: 0.7500 0.2500 0.5000  12 Br 4.12
Rb: 0.2500 0.7500 0.5000  12 Br 4.12

space-group type: I4/mmm
DOS at the Fermi energy: 4.72 states/eV/f.u.
volume: 39.58 Å³ per atom
total DFT energy (no corrections): -30.24 eV/cell
formation energy without anion corrections: -1.014 eV per atom

***

[3]
Computed, not measured: a geometry-optimized LiEr2Ir structure at the PBE level of DFT.

abc: 3.9396 3.9396 10.0409
angles: 78.69 78.69 60.00
With the nearest neighbours (Å) after each atom.
Element x y z (fractional)
Ir: 0.5000 0.5000 0.5000  6 Er 2.71
Li: 0.0000 0.0000 0.0000  2 Er 3.41
Er: 0.1163 0.1163 0.6511  3 Ir 2.71
Er: 0.8837 0.8837 0.3489  3 Ir 2.71

space-group type: R-3m
DOS at the Fermi energy: 2.60 states/eV/f.u.
volume: 32.86 Å³ per atom
total DFT energy (no corrections): -20.94 eV/cell